Material: ZrVMo2
Method: DFT, PBE
State: relaxed

Lattice parameters (Å, degrees): 3.7510 3.7510 20.3507 90.00 90.00 90.00
Space group I-42d (No. 122)
Symmetry-distinct sites (fractional):
Zr 0.0000 0.0000 0.0000 [4 per cell]
V 0.0000 0.0000 0.5000 [4 per cell]
Mo 0.2406 0.2500 0.6250 [8 per cell]

## Properties
* ΔE_f: 0.695 eV/atom